Zr6CdHg | GGA-PBE | relaxed

a = 5.608 Å, b = 5.608 Å, c = 5.608 Å
α = 90.00°, β = 90.00°, γ = 90.00°
Atoms (fractional coordinates):
Zr: 0.000 0.500 0.250
Zr: 0.250 0.000 0.500
Zr: 0.750 0.000 0.500
Zr: 0.500 0.250 0.000
Zr: 0.500 0.750 0.000
Zr: 0.000 0.500 0.750
Hg: 0.500 0.500 0.500
Cd: 0.000 0.000 0.000

The energy of formation is -1.08 eV/f.u. The spin magnetization comes out at 0.01 μB per cell.